A relaxed RbCr2Pt crystal, computed with PBE.

a = 6.405 Å, b = 6.405 Å, c = 6.405 Å
α = 90.00°, β = 90.00°, γ = 90.00°
Space group Fm-3m (No. 225)
One atom of each set of equivalent atoms:
1 Rb 0.000 0.000 0.000 x4
2 Cr 0.250 0.250 0.250 x8
3 Pt 0.000 0.000 0.500 x4

Values from the calculation:
**Crystal system**: cubic
**ρ**: 9.72 g cm⁻³
**N(E_F)**: 1.60 states/eV per atom
**E_form**: 6.33 eV/f.u.
**Total moment**: 0.00 μB per atom
**Offset from the most stable computed form**: 721 meV per atom